w.
A geometry-optimized CePmS3 structure, computed with PBE.

Cell lengths 7.4784, 4.0268, 15.4886 Å; angles 90.00, 90.00, 90.00 degrees
Last column: nearest neighbours and their distance in Å.
Space group Pnma (No. 62)
Unique sites:
Ce  0.1382  0.2500  0.2061  7 S 2.81-3.03
Pm  0.2366  0.7500  0.4564  7 S 2.82-2.99
S  0.0096  0.2500  0.3917  3 Pm 2.82-2.99, 1 Ce 3.03
S  0.1254  0.7500  0.0686  3 Pm 2.85-2.93, 2 Ce 2.93, 1 S 3.12
S  0.1482  0.2500  0.7798  4 Ce 2.81-2.95, 1 Pm 2.87, 1 S 3.12

Crystal system   orthorhombic
Density   5.430 g/cm³

---

x.
A geometry-optimized CePmS3 structure, computed with PBE.

Cell lengths 7.3969, 10.4986, 6.7989 Å; angles 90.00, 90.00, 90.00 degrees
Last column: nearest neighbours and their distance in Å.
Space group Pnma (No. 62)
Unique sites:
Ce  0.0000  0.0000  0.0000  6 S 2.74-2.89
Pm  0.0905  0.2500  0.4559  6 S 2.84-3.00
S  0.0723  0.7500  0.1614  2 Pm 2.86-2.87, 2 Ce 2.89
S  0.1896  0.5888  0.6823  2 Ce 2.74-2.77, 2 Pm 2.84-3.00

Crystal system   orthorhombic
Density   4.797 g/cm³

---

Relative energies, meV per atom: w 0; x 111.

---

w.
A geometry-optimized Ce3Pm2S8 structure, computed with PBE.

Cell lengths 9.7520, 13.6896, 4.7538 Å; angles 90.00, 90.00, 90.00 degrees
Last column: nearest neighbours and their distance in Å.
Space group Cmmm (No. 65)
Unique sites:
Ce  0.0000  0.0000  0.0000  8 S 2.86-2.88
Ce  0.2222  0.5000  0.5000  6 S 2.77-2.93
Pm  0.0000  0.2695  0.0000  6 S 2.78-3.08
S  0.0000  0.1163  0.5000  4 Ce 2.86-3.14, 2 Pm 3.17, 1 S 3.18
S  0.0000  0.3741  0.5000  2 Ce 2.77, 2 Pm 2.78
S  0.2394  0.1226  0.0000  3 Ce 2.88-2.93, 2 Pm 2.94-3.08

Crystal system   orthorhombic
Density   5.060 g/cm³

---

x.
A geometry-optimized Ce3Pm2S8 structure, computed with PBE.

Cell lengths 14.1870, 8.1581, 6.8776 Å; angles 90.00, 110.65, 90.00 degrees
Last column: nearest neighbours and their distance in Å.
Space group C2/m (No. 12)
Unique sites:
Ce  0.0000  0.0000  0.0000  6 S 2.79-2.83
Ce  0.0000  0.2615  0.5000  6 S 2.74-2.83
Pm  0.2323  0.5000  0.1564  6 S 2.79-2.90
S  0.1103  0.5000  0.3972  2 Ce 2.74, 1 Pm 2.79
S  0.1154  0.0000  0.4307  3 Ce 2.83, 1 Pm 2.90
S  0.1266  0.2277  0.9135  2 Ce 2.79, 2 Pm 2.87-2.89

Crystal system   monoclinic
Density   4.311 g/cm³

---

Relative energies, meV per atom: w 46; x 0.

---

w.
A geometry-optimized CePmSb structure, computed with PBE.

Cell lengths 4.4338, 4.4338, 17.6663 Å; angles 90.00, 90.00, 90.00 degrees
Last column: nearest neighbours and their distance in Å.
Space group I4/mmm (No. 139)
Unique sites:
Ce  0.0000  0.5000  0.0000  4 Ce 3.14, 4 Sb 3.30
Pm  0.0000  0.0000  0.1776  5 Sb 3.21-3.25
Sb  0.0000  0.0000  0.3614  5 Pm 3.21-3.25, 4 Ce 3.30

Crystal system   tetragonal
Density   7.782 g/cm³

---

x.
A geometry-optimized CePmSb structure, computed with PBE.

Cell lengths 5.1499, 5.1499, 4.0767 Å; angles 90.00, 90.00, 120.00 degrees
Last column: nearest neighbours and their distance in Å.
Space group P3m1 (No. 156)
Unique sites:
Ce  0.0000  0.0000  0.0000  3 Sb 3.27, 3 Pm 3.50
Pm  0.6667  0.3333  0.4539  3 Sb 3.10
Sb  0.3333  0.6667  0.6672  3 Pm 3.10, 3 Ce 3.27

Crystal system   trigonal
Density   7.216 g/cm³

---

y.
A geometry-optimized CePmSb structure, computed with PBE.

Cell lengths 4.1627, 4.1627, 10.0161 Å; angles 90.00, 90.00, 90.00 degrees
Last column: nearest neighbours and their distance in Å.
Space group I4mm (No. 107)
Unique sites:
Ce  0.0000  0.0000  0.0000  1 Pm 2.97, 4 Sb 3.31
Pm  0.0000  0.0000  0.2966  1 Ce 2.97, 4 Sb 3.28
Sb  0.0000  0.0000  0.6516  5 Pm 3.28-3.56, 5 Ce 3.31-3.49

Crystal system   tetragonal
Density   7.786 g/cm³

---

z.
A geometry-optimized CePmSb structure, computed with PBE.

Cell lengths 7.7044, 6.2311, 7.8969 Å; angles 90.00, 99.05, 90.00 degrees
Last column: nearest neighbours and their distance in Å.
Space group P2_1/c (No. 14)
Unique sites:
Ce  0.1375  0.1377  0.4762  1 Ce 2.80
Pm  0.4545  0.6196  0.6855  3 Sb 3.14-3.30, 3 Pm 3.32-3.46
Sb  0.1706  0.6213  0.3458  3 Pm 3.14-3.30, 5 Ce 3.20-3.40

Crystal system   monoclinic
Density   7.219 g/cm³

---

Relative energies, meV per atom: w 0; x 497; y 267; z 262.

---

w.
A geometry-optimized CePmSb structure, computed with PBE.

Cell lengths 3.4097, 5.6205, 18.6443 Å; angles 90.00, 90.00, 90.00 degrees
Last column: nearest neighbours and their distance in Å.
Space group Immm (No. 71)
Unique sites:
Ce  0.0000  0.2459  0.0000  2 Ce 2.76-2.86
Pm  0.0000  0.5000  0.3269  5 Sb 3.18-3.30, 2 Pm 3.41
Sb  0.0000  0.5000  0.1563  5 Pm 3.18-3.30, 2 Ce 3.24, 2 Sb 3.41

Crystal system   orthorhombic
Density   7.564 g/cm³

---

x.
A geometry-optimized CePmSb structure, computed with PBE.

Cell lengths 7.4043, 7.4043, 7.4043 Å; angles 90.00, 90.00, 90.00 degrees
Last column: nearest neighbours and their distance in Å.
Space group F-43m (No. 216)
Unique sites:
Ce  0.0000  0.0000  0.0000  4 Sb 3.21
Pm  0.0000  0.0000  0.5000  4 Sb 3.21
Sb  0.2500  0.2500  0.7500  4 Ce 3.21, 4 Pm 3.21

Crystal system   cubic
Density   6.658 g/cm³

---

Relative energies, meV per atom: w 39; x 0.

---

w.
A geometry-optimized CePm2Sb structure, computed with PBE.

Cell lengths 4.3480, 6.1073, 10.1071 Å; angles 100.51, 102.40, 90.09 degrees
Last column: nearest neighbours and their distance in Å.
Space group P1 (No. 1)
Unique sites:
Ce  0.0000  0.0000  0.0000  2 Ce 2.79
Ce  0.4989  0.2846  0.9958  2 Ce 2.79
Pm  0.1194  0.5659  0.2346  2 Sb 3.10, 2 Ce 3.42
Pm  0.3406  0.8869  0.6764  3 Sb 3.13-3.15
Pm  0.6630  0.1183  0.3228  3 Sb 3.12-3.14
Pm  0.8835  0.4353  0.7631  2 Sb 3.09, 2 Ce 3.41
Sb  0.2712  0.3124  0.5388  5 Pm 3.09-3.15, 2 Sb 3.38
Sb  0.7320  0.6924  0.4593  5 Pm 3.10-3.14, 2 Sb 3.38

Crystal system   triclinic
Density   7.118 g/cm³

---

x.
A geometry-optimized CePm2Sb structure, computed with PBE.

Cell lengths 4.9261, 4.9261, 4.6915 Å; angles 90.00, 90.00, 90.00 degrees
Last column: nearest neighbours and their distance in Å.
Space group P4/mmm (No. 123)
Unique sites:
Ce  0.0000  0.0000  0.0000  8 Pm 3.40, 4 Sb 3.48
Pm  0.0000  0.5000  0.5000  4 Ce 3.40, 4 Sb 3.40, 4 Pm 3.48
Sb  0.5000  0.5000  0.0000  8 Pm 3.40, 4 Ce 3.48

Crystal system   tetragonal
Density   8.050 g/cm³

---

y.
A geometry-optimized CePm2Sb structure, computed with PBE.

Cell lengths 4.0315, 4.0315, 7.3272 Å; angles 90.00, 90.00, 90.00 degrees
Last column: nearest neighbours and their distance in Å.
Space group P4/mmm (No. 123)
Unique sites:
Ce  0.0000  0.0000  0.0000  8 Pm 3.50, 2 Sb 3.66
Pm  0.5000  0.5000  0.2764  1 Pm 3.28, 4 Sb 3.29, 4 Ce 3.50
Sb  0.0000  0.0000  0.5000  8 Pm 3.29, 2 Ce 3.66

Crystal system   tetragonal
Density   7.695 g/cm³

---

Relative energies, meV per atom: w 203; x 0; y 60.

---

w.
A geometry-optimized CePm3Sb3 structure, computed with PBE.

Cell lengths 9.2513, 9.2513, 5.8771 Å; angles 90.00, 90.00, 120.00 degrees
Last column: nearest neighbours and their distance in Å.
Space group P6_3/m (No. 176)
Unique sites:
Ce  0.3333  0.6667  0.2500  3 Sb 3.26, 3 Pm 3.46
Pm  0.0137  0.2562  0.2500  5 Sb 3.06-3.40
Sb  0.0555  0.4241  0.7500  5 Pm 3.06-3.40, 1 Ce 3.26

Crystal system   hexagonal
Density   7.169 g/cm³

---

x.
A geometry-optimized CePm3Sb3 structure, computed with PBE.

Cell lengths 9.4545, 9.4545, 9.4545 Å; angles 90.00, 90.00, 90.00 degrees
Last column: nearest neighbours and their distance in Å.
Space group P2_13 (No. 198)
Unique sites:
Ce  0.0720  0.4280  0.5720  6 Sb 3.16-3.41
Pm  0.0719  0.5719  0.9281  6 Sb 3.16-3.41
Pm  0.1794  0.1794  0.1794  6 Sb 3.14-3.40
Pm  0.1801  0.8199  0.3199  6 Sb 3.15-3.39
Sb  0.0009  0.7502  0.6231  6 Pm 3.14-3.41, 2 Ce 3.16-3.41

Crystal system   cubic
Density   7.391 g/cm³

---

Relative energies, meV per atom: w 241; x 0.

---

w.
A geometry-optimized CePm2Sc structure, computed with PBE.

Cell lengths 4.9844, 4.9844, 4.9121 Å; angles 90.00, 90.00, 90.00 degrees
Last column: nearest neighbours and their distance in Å.
Space group P4/mmm (No. 123)
Unique sites:
Ce  0.0000  0.0000  0.0000  8 Pm 3.50, 4 Sc 3.52
Pm  0.0000  0.5000  0.5000  4 Sc 3.50, 4 Ce 3.50, 4 Pm 3.52
Sc  0.5000  0.5000  0.0000  8 Pm 3.50, 4 Ce 3.52

Crystal system   tetragonal
Density   6.464 g/cm³

---

x.
A geometry-optimized CePm2Sc structure, computed with PBE.

Cell lengths 7.9393, 7.9393, 7.9393 Å; angles 90.00, 90.00, 90.00 degrees
Last column: nearest neighbours and their distance in Å.
Space group Fm-3m (No. 225)
Unique sites:
Ce  0.0000  0.0000  0.0000  8 Pm 3.44
Pm  0.2500  0.2500  0.2500  4 Ce 3.44, 4 Sc 3.44
Sc  0.0000  0.0000  0.5000  8 Pm 3.44

Crystal system   cubic
Density   6.306 g/cm³

---

Relative energies, meV per atom: w 0; x 108.

---

w.
A geometry-optimized CePm2Sc structure, computed with PBE.

Cell lengths 3.5075, 3.5075, 9.9225 Å; angles 90.00, 90.00, 90.00 degrees
Last column: nearest neighbours and their distance in Å.
Space group P4/mmm (No. 123)
Unique sites:
Ce  0.0000  0.0000  0.0000  4 Ce 3.51, 8 Pm 3.56
Pm  0.5000  0.5000  0.2569  4 Sc 3.46, 4 Pm 3.51, 4 Ce 3.56
Sc  0.0000  0.0000  0.5000  8 Pm 3.46, 4 Sc 3.51

Crystal system   tetragonal
Density   6.462 g/cm³

---

x.
A geometry-optimized CePm2Sc structure, computed with PBE.

Cell lengths 3.3913, 3.3913, 36.5925 Å; angles 90.00, 90.00, 120.00 degrees
Last column: nearest neighbours and their distance in Å.
Space group R-3m (No. 166, hexagonal axes)
Unique sites:
Ce  0.0000  0.0000  0.0000  2 Pm 3.30, 6 Ce 3.39
Pm  0.0000  0.0000  0.0902  1 Ce 3.30, 6 Pm 3.39, 3 Sc 3.42
Sc  0.0000  0.0000  0.5000  6 Sc 3.39, 6 Pm 3.42

Crystal system   trigonal
Density   6.493 g/cm³

---

Relative energies, meV per atom: w 0; x 109.

---

w.
A geometry-optimized Ce2PmSc structure, computed with PBE.

Cell lengths 3.4167, 3.4167, 34.1410 Å; angles 90.00, 90.00, 120.00 degrees
Last column: nearest neighbours and their distance in Å.
Space group R3m (No. 160, hexagonal axes)
Unique sites:
Ce  0.0000  0.0000  0.0000  3 Sc 3.33, 6 Ce 3.42, 3 Pm 3.52
Ce  0.0000  0.0000  0.1580  3 Sc 3.36, 6 Ce 3.42, 3 Pm 3.64
Pm  0.0000  0.0000  0.5811  6 Pm 3.42, 6 Ce 3.52-3.64
Sc  0.0000  0.0000  0.4118  6 Ce 3.33-3.36, 6 Sc 3.42

Crystal system   trigonal
Density   6.786 g/cm³

---

x.
A geometry-optimized Ce2PmSc structure, computed with PBE.

Cell lengths 3.4113, 3.4113, 9.9813 Å; angles 90.00, 90.00, 90.00 degrees
Last column: nearest neighbours and their distance in Å.
Space group P4/mmm (No. 123)
Unique sites:
Ce  0.0000  0.0000  0.2377  4 Sc 3.38, 4 Ce 3.41, 4 Pm 3.56
Pm  0.5000  0.5000  0.5000  4 Pm 3.41, 8 Ce 3.56
Sc  0.5000  0.5000  0.0000  8 Ce 3.38, 4 Sc 3.41

Crystal system   tetragonal
Density   6.722 g/cm³

---

Relative energies, meV per atom: w 0; x 15.

---

w.
A geometry-optimized Ce2PmSc structure, computed with PBE.

Cell lengths 3.2944, 3.2944, 36.1195 Å; angles 90.00, 90.00, 120.00 degrees
Last column: nearest neighbours and their distance in Å.
Space group R-3m (No. 166, hexagonal axes)
Unique sites:
Ce  0.0000  0.0000  0.0888  1 Pm 3.21, 6 Ce 3.29, 3 Sc 3.39
Pm  0.0000  0.0000  0.0000  2 Ce 3.21, 6 Pm 3.29
Sc  0.0000  0.0000  0.5000  6 Sc 3.29, 6 Ce 3.39

Crystal system   trigonal
Density   6.900 g/cm³

---

x.
A geometry-optimized Ce2PmSc structure, computed with PBE.

Cell lengths 7.8434, 7.8434, 7.8434 Å; angles 90.00, 90.00, 90.00 degrees
Last column: nearest neighbours and their distance in Å.
Space group Fm-3m (No. 225)
Unique sites:
Ce  0.2500  0.2500  0.2500  4 Pm 3.40, 4 Sc 3.40
Pm  0.0000  0.0000  0.0000  8 Ce 3.40
Sc  0.0000  0.0000  0.5000  8 Ce 3.40

Crystal system   cubic
Density   6.472 g/cm³

---

y.
A geometry-optimized Ce2PmSc structure, computed with PBE.

Cell lengths 4.7867, 4.7867, 5.0559 Å; angles 90.00, 90.00, 90.00 degrees
Last column: nearest neighbours and their distance in Å.
Space group P4/mmm (No. 123)
Unique sites:
Ce  0.0000  0.5000  0.0000  4 Ce 3.38, 4 Pm 3.48, 4 Sc 3.48
Pm  0.0000  0.0000  0.5000  4 Sc 3.38, 8 Ce 3.48
Sc  0.5000  0.5000  0.5000  4 Pm 3.38, 8 Ce 3.48

Crystal system   tetragonal
Density   6.740 g/cm³

---

Relative energies, meV per atom: w 99; x 132; y 0.